Entry 1:
# Dy2TlBi, relaxed, DFT PBE
# ρ: 9.838 g/cm³
# Raw total energy: -17.31 eV per formula unit
# Formation energy from the elements: -0.4637 eV per atom
data_Dy2TlBi
_cell_length_a 8.331
_cell_length_b 4.171
_cell_length_c 14.347
_cell_angle_alpha 90.00
_cell_angle_beta 90.00
_cell_angle_gamma 90.00
_symmetry_space_group_name_H-M 'P 1'
_symmetry_Int_Tables_number 1
loop_
_symmetry_equiv_pos_as_xyz
'x,y,z'
loop_
_atom_site_label
_atom_site_type_symbol
_atom_site_fract_x
_atom_site_fract_y
_atom_site_fract_z
Dy1 Dy 0.189 0.250 0.237
Dy2 Dy 0.195 0.750 0.995
Dy3 Dy 0.305 0.250 0.495
Dy4 Dy 0.311 0.750 0.737
Dy5 Dy 0.689 0.250 0.263
Dy6 Dy 0.695 0.750 0.505
Dy7 Dy 0.805 0.250 0.005
Dy8 Dy 0.811 0.750 0.763
Tl1 Tl 0.045 0.750 0.584
Tl2 Tl 0.455 0.250 0.084
Tl3 Tl 0.545 0.750 0.916
Tl4 Tl 0.955 0.250 0.416
Bi1 Bi 0.070 0.250 0.842
Bi2 Bi 0.430 0.750 0.342
Bi3 Bi 0.570 0.250 0.658
Bi4 Bi 0.930 0.750 0.158

Entry 2:
# Dy3Tl2Bi, relaxed, DFT PBE
# ρ: 9.819 g/cm³
# Raw total energy: -23.47 eV per formula unit
# Formation energy from the elements: -0.1746 eV per atom
data_Dy3Tl2Bi
_cell_length_a 9.624
_cell_length_b 9.624
_cell_length_c 9.624
_cell_angle_alpha 158.83
_cell_angle_beta 144.43
_cell_angle_gamma 41.76
_symmetry_space_group_name_H-M 'P 1'
_symmetry_Int_Tables_number 1
loop_
_symmetry_equiv_pos_as_xyz
'x,y,z'
loop_
_atom_site_label
_atom_site_type_symbol
_atom_site_fract_x
_atom_site_fract_y
_atom_site_fract_z
Dy1 Dy 0.000 0.000 0.000
Dy2 Dy 0.327 0.827 0.500
Dy3 Dy 0.673 0.173 0.500
Tl1 Tl 0.154 0.654 0.500
Tl2 Tl 0.846 0.346 0.500
Bi1 Bi 0.500 0.000 0.500

Entry 3:
# Dy2TlBi, relaxed, DFT PBE
# ρ: 10.761 g/cm³
# Raw total energy: -17.07 eV per formula unit
# Formation energy from the elements: -0.4037 eV per atom
data_Dy2TlBi
_cell_length_a 5.442
_cell_length_b 5.442
_cell_length_c 5.442
_cell_angle_alpha 60.00
_cell_angle_beta 60.00
_cell_angle_gamma 60.00
_symmetry_space_group_name_H-M 'P 1'
_symmetry_Int_Tables_number 1
loop_
_symmetry_equiv_pos_as_xyz
'x,y,z'
loop_
_atom_site_label
_atom_site_type_symbol
_atom_site_fract_x
_atom_site_fract_y
_atom_site_fract_z
Dy1 Dy 0.250 0.250 0.250
Dy2 Dy 0.750 0.750 0.750
Tl1 Tl 0.000 0.000 0.000
Bi1 Bi 0.500 0.500 0.500